Crystalline Sm12Ho5Hg3 at its relaxed geometry, computed with PBE-GGA.

## Properties
**Uncorrected energy**: -3.278 eV per atom
**M_tot**: 0.0 μB per cell

Lattice parameters (Å, degrees): 15.959 15.959 15.959 109.47 109.47 109.47
Fractional positions:
Hg 0.750 0.375 0.125
Hg 0.875 0.750 0.125
Hg 0.375 0.750 0.625
Hg 0.250 0.125 0.375
Hg 0.875 0.125 0.250
Hg 0.375 0.625 0.250
Hg 0.625 0.375 0.750
Hg 0.125 0.875 0.750
Hg 0.750 0.875 0.625
Hg 0.625 0.250 0.375
Hg 0.125 0.250 0.875
Hg 0.250 0.625 0.875
Ho 0.125 0.375 0.250
Ho 0.000 0.500 0.000
Ho 0.000 0.000 0.000
Ho 0.375 0.250 0.125
Ho 0.500 0.000 0.500
Ho 0.500 0.500 0.000
Ho 0.125 0.750 0.375
Ho 0.750 0.125 0.875
Ho 0.750 0.625 0.375
Ho 0.375 0.125 0.750
Ho 0.625 0.875 0.250
Ho 0.500 0.500 0.500
Ho 0.500 0.000 0.000
Ho 0.000 0.000 0.500
Ho 0.250 0.375 0.625
Ho 0.250 0.875 0.125
Ho 0.000 0.500 0.500
Ho 0.875 0.250 0.625
Ho 0.625 0.750 0.875
Ho 0.875 0.625 0.750
Sm 0.733 0.146 0.076
Sm 0.344 0.576 0.430
Sm 0.924 0.354 0.267
Sm 0.576 0.233 0.146
Sm 0.586 0.733 0.656
Sm 0.924 0.570 0.156
Sm 0.344 0.767 0.414
Sm 0.070 0.914 0.146
Sm 0.570 0.924 0.656
Sm 0.733 0.586 0.156
Sm 0.767 0.424 0.354
Sm 0.844 0.930 0.076
Sm 0.146 0.733 0.576
Sm 0.354 0.430 0.086
Sm 0.086 0.930 0.354
Sm 0.414 0.146 0.570
Sm 0.086 0.156 0.233
Sm 0.424 0.656 0.070
Sm 0.844 0.914 0.267
Sm 0.146 0.414 0.070
Sm 0.354 0.924 0.767
Sm 0.570 0.646 0.414
Sm 0.930 0.844 0.576
Sm 0.767 0.344 0.914
Sm 0.430 0.354 0.586
Sm 0.070 0.156 0.424
Sm 0.233 0.656 0.086
Sm 0.156 0.086 0.733
Sm 0.646 0.076 0.233
Sm 0.854 0.586 0.930
Sm 0.576 0.344 0.930
Sm 0.586 0.854 0.430
Sm 0.914 0.844 0.767
Sm 0.914 0.070 0.646
Sm 0.854 0.267 0.424
Sm 0.156 0.070 0.924
Sm 0.646 0.570 0.914
Sm 0.430 0.076 0.344
Sm 0.267 0.414 0.844
Sm 0.233 0.576 0.646
Sm 0.930 0.086 0.854
Sm 0.656 0.233 0.586
Sm 0.424 0.767 0.854
Sm 0.076 0.430 0.844
Sm 0.414 0.267 0.344
Sm 0.076 0.646 0.733
Sm 0.656 0.424 0.570
Sm 0.267 0.854 0.924